Record 1
TcWBr: optimized geometry, GGA-PBE.

Geometry as POSCAR:
```
TcWBr
1.0
3.3663 0.0000 0.0000
-1.6832 2.9153 0.0000
0.0000 0.0000 6.1208
Tc W Br
1 1 1
direct
0.0000 0.0000 0.0000
0.6667 0.3333 0.2364
0.3333 0.6667 0.6066
```

Output
For the formation energy from raw total energies, the calculation gives 0.451 eV/atom. The value obtained for the size of the total moment is 0.00 μB per formula unit.

---

Record 2
TcWBr2: optimized geometry, GGA-PBE.

Geometry as POSCAR:
```
TcWBr2
1.0
1.6900 0.9757 9.4320
-1.6900 0.9757 9.4320
0.0000 -1.9514 9.4320
Tc W Br
1 1 2
direct
0.0000 0.0000 0.0000
0.7207 0.7207 0.7207
0.2608 0.2608 0.2608
0.4597 0.4597 0.4597
```

Output
For the formation energy from raw total energies, the calculation gives 0.131 eV/atom. The value obtained for the size of the total moment is 0.00 μB per formula unit.